Entry one
Material: SnBi3W
Method: DFT, PBE
State: optimized geometry

abc: 5.4361 5.4361 5.4361
angles: 90.00 90.00 90.00
Site moments in Bohr magnetons follow the coordinates.
Fractional coordinates of all 5 atoms:
Bi  0.5000  0.0000  0.0000  -0.04
Bi  0.0000  0.0000  0.5000  -0.04
Bi  0.0000  0.5000  0.0000  -0.02
Sn  0.5000  0.5000  0.5000  0.17
W  0.0000  0.0000  0.0000  0.40

Computed properties:
Crystal system   cubic
Mass density   9.61 g cm⁻³
SG   Pm-3m, No. 221

Entry two
Material: SnBi3W
Method: DFT, PBE
State: optimized geometry

abc: 5.7035 5.7035 5.7035
angles: 90.00 90.00 90.00
Site moments in Bohr magnetons follow the coordinates.
Fractional coordinates of all 5 atoms:
Bi  0.0000  0.0000  0.5000  0.13
Bi  0.0000  0.5000  0.0000  0.14
Bi  0.5000  0.0000  0.0000  0.07
Sn  0.0000  0.0000  0.0000  -0.03
W  0.5000  0.5000  0.5000  -3.19

Computed properties:
Crystal system   cubic
Mass density   8.32 g cm⁻³
SG   Pm-3m, No. 221

Most stable pick: entry one. Distance to second place: 98.3 kJ/mol of atoms.

Entry one
Material: SnBiW3
Method: DFT, PBE
State: optimized geometry

abc: 4.9707 4.9707 4.9707
angles: 90.00 90.00 90.00
Fractional coordinates of all 5 atoms:
W  0.0000  0.0000  0.5000
W  0.5000  0.0000  0.0000
W  0.0000  0.5000  0.0000
Bi  0.5000  0.5000  0.5000
Sn  0.0000  0.0000  0.0000

Computed properties:
Crystal system   cubic
Mass density   11.89 g cm⁻³
SG   Pm-3m, No. 221

Entry two
Material: SnBiW3
Method: DFT, PBE
State: optimized geometry

abc: 5.0410 5.0410 5.0410
angles: 90.00 90.00 90.00
Fractional coordinates of all 5 atoms:
W  0.0000  0.5000  0.0000
W  0.5000  0.0000  0.0000
W  0.0000  0.0000  0.5000
Sn  0.5000  0.5000  0.5000
Bi  0.0000  0.0000  0.0000

Computed properties:
Crystal system   cubic
Mass density   11.40 g cm⁻³
SG   Pm-3m, No. 221

Most stable pick: entry one. Distance to second place: 35.5 kJ/mol of atoms.